This record from Alexandria via LeMat-Bulk describes an optimized crystal structure of Cu4Pd3Au4. The functional is PBE.

Cell: 2.8852 3.6789 15.9764 Å, 83.48 84.88 89.97°
With the nearest neighbours (Å) after each atom.
Element x y z (fractional)
Cu 0.0922 0.0941 0.3112  5 Pd 2.70-2.98, 5 Au 2.73-2.92, 2 Cu 2.89
Cu 0.2726 0.2719 0.9583  5 Au 2.65-2.70, 6 Cu 2.67-2.89, 1 Pd 2.91
Cu 0.7274 0.7281 0.0417  5 Au 2.65-2.70, 6 Cu 2.67-2.89, 1 Pd 2.91
Cu 0.9078 0.9059 0.6888  5 Pd 2.70-2.98, 5 Au 2.73-2.92, 2 Cu 2.89
Pd 0.0000 0.0000 0.5000  8 Au 2.81-2.82, 2 Pd 2.89, 2 Cu 2.98
Pd 0.3648 0.3631 0.7745  5 Cu 2.70-2.91, 5 Au 2.77-2.82, 2 Pd 2.89
Pd 0.6352 0.6369 0.2255  5 Cu 2.70-2.91, 5 Au 2.77-2.82, 2 Pd 2.89
Au 0.1850 0.1859 0.1262  6 Cu 2.65-2.92, 4 Pd 2.81-2.82, 2 Au 2.89
Au 0.4512 0.4508 0.5993  4 Cu 2.73-2.74, 5 Pd 2.77-2.82, 2 Au 2.89
Au 0.5488 0.5492 0.4007  4 Cu 2.73-2.74, 5 Pd 2.77-2.82, 2 Au 2.89
Au 0.8150 0.8141 0.8738  6 Cu 2.65-2.92, 4 Pd 2.81-2.82, 2 Au 2.89

Its total energy is -45.92 eV/f.u.